Density functional theory data (PBEsol) for an optimized crystal structure of ZrAlCd2.

Output
**DOS(E_F)**: 1.83 states/eV per cell
**Offset from the most stable computed form**: 138.1 meV per atom
**ρ**: 7325 kg/m³
**Symmetry**: No. 99
**M_tot**: 0.000 μB per formula unit
**Crystal system**: tetragonal
**Volume**: 19.44 Å³/atom
**DFT formation energy**: -0.144 eV per atom
**E_tot**: -0.29681 Ry/atom

Lattice parameters (Å, degrees): 3.114 3.114 8.021 90.00 90.00 90.00
Positions (direct):
Al 0.500 0.500 0.750
Cd 0.000 0.000 0.987
Cd 0.500 0.500 0.244
Zr 0.000 0.000 0.519



Density functional theory data (PBEsol) for an optimized crystal structure of ZrAlCd2.

Output
**DOS(E_F)**: 1.25 states/eV per cell
**Offset from the most stable computed form**: 0.0 meV per atom
**ρ**: 7433 kg/m³
**Symmetry**: No. 123
**M_tot**: 0.000 μB per formula unit
**Crystal system**: tetragonal
**Volume**: 19.16 Å³/atom
**DFT formation energy**: -0.283 eV per atom
**E_tot**: -0.30696 Ry/atom

Lattice parameters (Å, degrees): 4.169 4.169 4.409 90.00 90.00 90.00
Positions (direct):
Cd 0.500 0.000 0.000
Cd 0.000 0.500 0.000
Al 0.000 0.000 0.500
Zr 0.500 0.500 0.500



Density functional theory data (PBEsol) for an optimized crystal structure of Zr2Al2Cd.

Output
**DOS(E_F)**: 4.64 states/eV per cell
**ρ**: 6020 kg/m³
**Symmetry**: No. 127
**M_tot**: 0.000 μB per formula unit
**Crystal system**: tetragonal
**Volume**: 19.24 Å³/atom
**DFT formation energy**: -0.349 eV per atom
**E_tot**: -0.43078 Ry/atom

Lattice parameters (Å, degrees): 4.051 6.893 6.893 90.00 90.00 90.00
Positions (direct):
Al 0.000 0.872 0.628
Al 0.000 0.128 0.372
Al 0.000 0.628 0.128
Al 0.000 0.372 0.872
Zr 0.500 0.829 0.329
Zr 0.500 0.671 0.829
Zr 0.500 0.171 0.671
Zr 0.500 0.329 0.171
Cd 0.000 0.500 0.500
Cd 0.000 0.000 0.000



Density functional theory data (PBEsol) for an optimized crystal structure of Zr2AlCd.

Output
**DOS(E_F)**: 3.17 states/eV per cell
**ρ**: 6637 kg/m³
**Symmetry**: No. 166
**M_tot**: 0.000 μB per formula unit
**Crystal system**: trigonal
**Volume**: 20.13 Å³/atom
**DFT formation energy**: -0.115 eV per atom
**E_tot**: -0.43966 Ry/atom

Lattice parameters (Å, degrees): 3.026 3.026 10.306 81.56 81.56 60.00
Positions (direct):
Cd 0.000 0.000 0.000
Al 0.500 0.500 0.500
Zr 0.753 0.753 0.742
Zr 0.247 0.247 0.258